A plane-wave DFT calculation with PBE+U was carried out for a relaxed structure of K3TlW2O9.

Values from the calculation:
- calculated total energy (eV per formula unit) = -91.46
- SG = No. 164
- ρ (g/cm³) = 6.60

The structure in extended XYZ format:
```
15
Lattice="5.800 0.000 0.000 -2.900 5.023 0.000 0.000 0.000 7.203" Properties=species:S:1:pos:R:3 pbc="T T T"
K 0.000 0.000 0.000
K 0.000 3.348 4.792
K 2.900 1.674 2.412
Tl 0.000 0.000 3.602
W 0.000 3.348 1.179
W 2.900 1.674 6.024
O -1.450 2.511 0.000
O 0.000 1.778 2.230
O -1.360 4.133 2.230
O 1.540 0.889 4.973
O 2.900 0.000 0.000
O 1.450 2.511 0.000
O 1.360 4.133 2.230
O 4.259 0.889 4.973
O 2.900 3.244 4.973
```